1.
DFT (GGA-PBE) results for a geometry-optimized Dy4Pu3Se8 structure.

```
Dy4Pu3Se8
1.0
7.179 -0.152 -3.933
-4.626 6.755 -0.214
-0.164 0.133 8.187
Dy Pu Se
4 3 8
Direct
0.500 0.000 0.000 Dy
0.000 0.500 0.000 Dy
0.000 0.000 0.000 Dy
0.000 0.000 0.500 Dy
0.500 0.500 0.000 Pu
0.500 0.000 0.500 Pu
0.500 0.500 0.500 Pu
0.499 0.248 0.248 Se
0.000 0.749 0.251 Se
0.994 0.248 0.248 Se
0.500 0.751 0.249 Se
0.500 0.249 0.751 Se
0.006 0.752 0.752 Se
0.000 0.251 0.749 Se
0.501 0.752 0.752 Se
```

Properties
D(E_F) (states/eV/cell): 28.8
Formation energy from raw total energies (meV/atom): -1727
Size of the total moment (μB per cell): 17.26
Final energy (eV/f.u.): -115.18

2.
DFT (GGA-PBE) results for a geometry-optimized Dy2Pu2Se7 structure.

```
Dy2Pu2Se7
1.0
-2.662 -1.822 -2.444
3.625 -7.954 -1.369
-2.847 -6.835 4.845
Dy Pu Se
2 2 7
Direct
0.000 0.780 0.220 Dy
0.500 0.327 0.673 Dy
0.741 0.852 0.665 Pu
0.259 0.335 0.148 Pu
0.817 0.077 0.288 Se
0.861 0.417 0.861 Se
0.500 0.007 0.993 Se
0.610 0.494 0.286 Se
0.390 0.714 0.506 Se
0.183 0.712 0.923 Se
0.139 0.139 0.583 Se
```

Properties
D(E_F) (states/eV/cell): 20.8
Formation energy from raw total energies (meV/atom): -1475
Size of the total moment (μB per cell): 8.34
Final energy (eV/f.u.): -78.48

3.
DFT (GGA-PBE) results for a geometry-optimized Dy5Pu3Se8 structure.

```
Dy5Pu3Se8
1.0
-2.703 7.029 3.182
-6.490 0.008 4.972
0.994 1.507 8.017
Dy Pu Se
5 3 8
Direct
0.500 0.000 0.000 Dy
0.500 0.500 0.000 Dy
0.000 0.000 0.000 Dy
0.000 0.500 0.000 Dy
0.500 0.500 0.500 Dy
0.500 0.000 0.500 Pu
0.000 0.000 0.500 Pu
0.000 0.500 0.500 Pu
0.250 0.250 0.754 Se
0.250 0.746 0.754 Se
0.746 0.250 0.754 Se
0.748 0.748 0.755 Se
0.750 0.750 0.246 Se
0.750 0.254 0.246 Se
0.254 0.750 0.246 Se
0.252 0.252 0.245 Se
```

Properties
D(E_F) (states/eV/cell): 26.0
Formation energy from raw total energies (meV/atom): -1695
Size of the total moment (μB per cell): 17.68
Final energy (eV/f.u.): -121.00

4.
DFT (GGA-PBE) results for a geometry-optimized DyPuSe3 structure.

```
DyPuSe3
1.0
-3.096 -1.742 -1.974
1.978 -6.295 2.453
-5.282 1.167 7.254
Dy Pu Se
2 2 6
Direct
0.000 0.000 0.602 Dy
0.500 0.500 0.398 Dy
0.500 0.000 0.153 Pu
0.000 0.500 0.847 Pu
0.000 0.772 0.331 Se
0.500 0.728 0.669 Se
0.500 0.272 0.669 Se
0.000 0.228 0.331 Se
0.000 0.000 0.934 Se
0.500 0.500 0.066 Se
```

Properties
D(E_F) (states/eV/cell): 20.3
Polymorph energy (0 for the lowest one) (eV/atom): 0.0617
Formation energy from raw total energies (meV/atom): -1599
Size of the total moment (μB per cell): 10.00
Final energy (eV/f.u.): -37.38

5.
DFT (GGA-PBE) results for a geometry-optimized DyPu3Se4 structure.

```
DyPu3Se4
1.0
4.131 0.000 0.000
0.000 6.769 -2.318
0.000 -0.066 7.154
Pu Se Dy
3 4 1
Direct
0.000 0.000 0.500 Pu
0.500 0.500 0.500 Pu
0.000 0.500 0.000 Pu
0.000 0.247 0.247 Se
0.500 0.751 0.249 Se
0.000 0.753 0.753 Se
0.500 0.249 0.751 Se
0.500 0.000 0.000 Dy
```

Properties
D(E_F) (states/eV/cell): 26.9
Polymorph energy (0 for the lowest one) (eV/atom): 0.0000
Formation energy from raw total energies (meV/atom): -1601
Size of the total moment (μB per cell): 17.53
Final energy (eV/f.u.): -74.34

6.
DFT (GGA-PBE) results for a geometry-optimized Dy2PuSe structure.

```
Dy2PuSe
1.0
-1.121 2.643 2.297
-3.231 -0.314 1.727
3.190 -4.038 9.146
Dy Se Pu
2 1 1
Direct
0.107 0.107 0.679 Dy
0.893 0.893 0.321 Dy
0.500 0.500 0.500 Se
0.000 0.000 0.000 Pu
```

Properties
D(E_F) (states/eV/cell): 10.5
Formation energy from raw total energies (meV/atom): -442
Size of the total moment (μB per cell): 6.48
Final energy (eV/f.u.): -28.79

7.
DFT (GGA-PBE) results for a geometry-optimized Sm4DyPu3Se8 structure.

```
Sm4DyPu3Se8
1.0
-5.307 -6.025 1.999
4.499 -5.427 -4.413
3.618 4.468 5.950
Sm Dy Pu Se
4 1 3 8
Direct
0.500 0.000 0.000 Sm
0.500 0.000 0.500 Sm
0.000 0.000 0.000 Sm
0.000 0.000 0.500 Sm
0.000 0.500 0.000 Dy
0.500 0.500 0.000 Pu
0.500 0.500 0.500 Pu
0.000 0.500 0.500 Pu
0.247 0.745 0.998 Se
0.247 0.745 0.494 Se
0.251 0.253 0.502 Se
0.751 0.745 0.998 Se
0.249 0.255 0.002 Se
0.749 0.747 0.498 Se
0.753 0.255 0.506 Se
0.753 0.255 0.002 Se
```

Properties
D(E_F) (states/eV/cell): 27.9
Formation energy from raw total energies (meV/atom): -1723
Size of the total moment (μB per cell): 17.44
Final energy (eV/f.u.): -121.92

8.
DFT (GGA-PBE) results for a geometry-optimized SmDy2Pu3Se6 structure.

```
SmDy2Pu3Se6
1.0
-3.155 0.192 -2.639
-3.157 -6.884 3.274
-2.177 6.391 6.281
Sm Dy Pu Se
1 2 3 6
Direct
0.500 0.000 0.000 Sm
0.833 0.664 0.667 Dy
0.167 0.336 0.333 Dy
0.500 0.500 0.000 Pu
0.835 0.165 0.669 Pu
0.165 0.835 0.331 Pu
0.332 0.912 0.663 Se
0.668 0.582 0.337 Se
0.668 0.088 0.337 Se
0.002 0.253 0.004 Se
0.998 0.747 0.996 Se
0.332 0.418 0.663 Se
```

Properties
D(E_F) (states/eV/cell): 27.7
Formation energy from raw total energies (meV/atom): -1674
Size of the total moment (μB per cell): 5.78
Final energy (eV/f.u.): -97.92

9.
DFT (GGA-PBE) results for a geometry-optimized Sm2DyPuSe4 structure.

```
Sm2DyPuSe4
1.0
4.120 0.000 0.000
0.000 7.172 0.141
0.000 -2.490 6.741
Sm Dy Pu Se
2 1 1 4
Direct
0.500 0.000 0.500 Sm
0.000 0.500 0.500 Sm
0.000 0.000 0.000 Dy
0.500 0.500 0.000 Pu
0.500 0.245 0.243 Se
0.500 0.755 0.757 Se
0.000 0.249 0.755 Se
0.000 0.751 0.245 Se
```

Properties
D(E_F) (states/eV/cell): 9.2
Formation energy from raw total energies (meV/atom): -1748
Size of the total moment (μB per cell): 5.87
Final energy (eV/f.u.): -56.29

10.
DFT (GGA-PBE) results for a geometry-optimized SmDyPu2Se4 structure.

```
SmDyPu2Se4
1.0
-0.800 -0.116 -4.048
-6.706 -2.292 1.391
0.080 7.110 -0.220
Sm Dy Pu Se
1 1 2 4
Direct
0.000 0.000 0.000 Sm
0.500 0.500 0.000 Dy
0.500 0.000 0.500 Pu
0.000 0.500 0.500 Pu
0.500 0.255 0.250 Se
0.500 0.745 0.750 Se
0.000 0.254 0.753 Se
0.000 0.746 0.247 Se
```

Properties
D(E_F) (states/eV/cell): 17.9
Formation energy from raw total energies (meV/atom): -1673
Size of the total moment (μB per cell): 0.07
Final energy (eV/f.u.): -65.31

Among the records above, which one has the lowest size of the total moment? SmDyPu2Se4